(1)
This record from Alexandria via LeMat-Bulk describes a geometry-optimized CeZn2Ag2 structure. The functional is PBE-GGA.

- final energy (eV for the cell shown) = -30.02
- ΔE to the lowest computed polymorph (meV/atom) = 0.0
- N(E_F) (states/eV per cell) = 14.0
- ΔH_f (0 K) (eV per atom) = -0.17
- size of the total moment (μB per atom) = 0.166

a = 4.9913 Å, b = 4.9913 Å, c = 9.4681 Å
α = 97.53°, β = 97.53°, γ = 118.25°
Last column: nearest neighbours and their distance in Å.
Fractional coordinates of all 10 atoms:
Ce: 0.1597 0.8403 0.7500  6 Zn 3.11-3.28, 8 Ag 3.14-3.39
Ce: 0.8403 0.1597 0.2500  6 Zn 3.11-3.28, 8 Ag 3.14-3.39
Zn: 0.4062 0.4264 0.6106  2 Zn 2.46-2.56, 1 Ag 2.71
Zn: 0.4264 0.4062 0.1106  2 Zn 2.46-2.56, 1 Ag 2.71
Zn: 0.5736 0.5938 0.8894  2 Zn 2.46-2.56, 1 Ag 2.71
Zn: 0.5938 0.5736 0.3894  2 Zn 2.46-2.56, 1 Ag 2.71
Ag: 0.1154 0.7837 0.0933  3 Zn 2.71-2.96, 2 Ag 2.75-2.88
Ag: 0.2163 0.8846 0.4067  3 Zn 2.71-2.96, 2 Ag 2.75-2.88
Ag: 0.7837 0.1154 0.5933  3 Zn 2.71-2.96, 2 Ag 2.75-2.88
Ag: 0.8846 0.2163 0.9067  3 Zn 2.71-2.96, 2 Ag 2.75-2.88

=====

(2)
This record from Alexandria via LeMat-Bulk describes a geometry-optimized CeZn11Ag structure. The functional is PBE-GGA.

- final energy (eV for the cell shown) = -24.69
- N(E_F) (states/eV per cell) = 9.4
- ΔH_f (0 K) (eV per atom) = -0.15
- size of the total moment (μB per atom) = 0.057

a = 6.8863 Å, b = 6.8863 Å, c = 6.8726 Å
α = 98.39°, β = 98.39°, γ = 134.80°
Last column: nearest neighbours and their distance in Å.
Fractional coordinates of all 13 atoms:
Ce: 0.0000 0.0000 0.0000  18 Zn 3.20-3.45, 2 Ag 3.44
Zn: 0.0004 0.3584 0.3528  7 Zn 2.60-2.87, 1 Ag 2.80
Zn: 0.0000 0.5000 0.0000  10 Zn 2.59-2.77
Zn: 0.9996 0.6416 0.6472  7 Zn 2.60-2.87, 1 Ag 2.80
Zn: 0.2867 0.5081 0.7837  8 Zn 2.59-2.87, 1 Ag 2.66
Zn: 0.3584 0.0004 0.3528  7 Zn 2.60-2.87, 1 Ag 2.80
Zn: 0.4919 0.7133 0.2163  8 Zn 2.59-2.87, 1 Ag 2.66
Zn: 0.5000 0.0000 0.0000  10 Zn 2.59-2.77
Zn: 0.5000 0.5000 0.5000  8 Zn 2.62-2.79, 2 Ag 2.65
Zn: 0.5081 0.2867 0.7837  8 Zn 2.59-2.87, 1 Ag 2.66
Zn: 0.6416 0.9996 0.6472  7 Zn 2.60-2.87, 1 Ag 2.80
Zn: 0.7133 0.4919 0.2163  8 Zn 2.59-2.87, 1 Ag 2.66
Ag: 0.0000 0.0000 0.5000  10 Zn 2.65-2.80

=====

(3)
This record from Alexandria via LeMat-Bulk describes a geometry-optimized CeZn2Ag structure. The functional is PBE-GGA.

- final energy (eV for the cell shown) = -11.90
- ΔE to the lowest computed polymorph (meV/atom) = 70.8
- N(E_F) (states/eV per cell) = 4.5
- ΔH_f (0 K) (eV per atom) = -0.14
- size of the total moment (μB per atom) = 0.024

a = 3.2176 Å, b = 3.2176 Å, c = 7.4088 Å
α = 90.00°, β = 90.00°, γ = 90.00°
Last column: nearest neighbours and their distance in Å.
Fractional coordinates of all 4 atoms:
Ce: 0.0000 0.0000 0.0000  8 Zn 3.13, 4 Ce 3.22
Zn: 0.5000 0.5000 0.2911  4 Ag 2.75
Zn: 0.5000 0.5000 0.7089  4 Ag 2.75
Ag: 0.0000 0.0000 0.5000  8 Zn 2.75

=====

(4)
This record from Alexandria via LeMat-Bulk describes a geometry-optimized Ce2Zn15Ag2 structure. The functional is PBE-GGA.

- final energy (eV for the cell shown) = -40.76
- N(E_F) (states/eV per cell) = 16.1
- ΔH_f (0 K) (eV per atom) = -0.21
- size of the total moment (μB per atom) = 0.077

a = 6.8837 Å, b = 6.8837 Å, c = 6.8837 Å
α = 82.69°, β = 82.69°, γ = 82.69°
Last column: nearest neighbours and their distance in Å.
Fractional coordinates of all 19 atoms:
Ce: 0.1573 0.1573 0.1573  1 Ag 3.16, 18 Zn 3.19-3.52
Ce: 0.8427 0.8427 0.8427  1 Ag 3.16, 18 Zn 3.19-3.52
Zn: 0.0000 0.5000 0.5000  8 Zn 2.62-2.67, 2 Ag 2.75
Zn: 0.1482 0.1482 0.6610  8 Zn 2.59-2.79, 1 Ag 2.87
Zn: 0.1482 0.6610 0.1482  8 Zn 2.59-2.79, 1 Ag 2.87
Zn: 0.2058 0.5000 0.7942  8 Zn 2.62-2.79
Zn: 0.2058 0.7942 0.5000  8 Zn 2.62-2.79
Zn: 0.3390 0.8518 0.8518  8 Zn 2.59-2.79, 1 Ag 2.87
Zn: 0.5000 0.0000 0.5000  8 Zn 2.62-2.67, 2 Ag 2.75
Zn: 0.5000 0.2058 0.7942  8 Zn 2.62-2.79
Zn: 0.5000 0.5000 0.0000  8 Zn 2.62-2.67, 2 Ag 2.75
Zn: 0.5000 0.7942 0.2058  8 Zn 2.62-2.79
Zn: 0.6610 0.1482 0.1482  8 Zn 2.59-2.79, 1 Ag 2.87
Zn: 0.7942 0.2058 0.5000  8 Zn 2.62-2.79
Zn: 0.7942 0.5000 0.2058  8 Zn 2.62-2.79
Zn: 0.8518 0.3390 0.8518  8 Zn 2.59-2.79, 1 Ag 2.87
Zn: 0.8518 0.8518 0.3390  8 Zn 2.59-2.79, 1 Ag 2.87
Ag: 0.3936 0.3936 0.3936  12 Zn 2.75-3.03, 1 Ag 2.84
Ag: 0.6064 0.6064 0.6064  12 Zn 2.75-3.03, 1 Ag 2.84